Run a
Below is a relaxed structure of Cs2PdCl5, with properties calculated at the PBE level.

a = 7.5669 Å, b = 7.5669 Å, c = 10.0405 Å
α = 90.00°, β = 90.00°, γ = 90.00°
Closest atoms and distances in Å follow each position.
Space group I4mm (No. 107)
Symmetry-distinct sites (fractional):
Cs1 0.0000 0.5000 0.0000 x4  10 Cl 3.67-3.79
Pd1 0.0000 0.0000 0.2657 x2  5 Cl 2.35-2.49
Cl1 0.0000 0.0000 0.5132 x2  1 Pd 2.49
Cl2 0.2186 0.2186 0.2474 x8  1 Pd 2.35

---

Run b
Below is a relaxed structure of Cs2PdCl5, with properties calculated at the PBE level.

a = 7.3888 Å, b = 7.3888 Å, c = 5.1243 Å
α = 90.00°, β = 90.00°, γ = 90.00°
Closest atoms and distances in Å follow each position.
Space group P4/mmm (No. 123)
Symmetry-distinct sites (fractional):
Cs1 0.0000 0.5000 0.0000 x2  10 Cl 3.67-3.69
Pd1 0.0000 0.0000 0.5000 x1  6 Cl 2.36-2.56
Cl1 0.0000 0.0000 0.0000 x1  2 Pd 2.56
Cl2 0.2263 0.2263 0.5000 x4  1 Pd 2.36

---

What should be chosen as the least stable of them? Choose run a.

---

Run a
Below is a relaxed structure of CsPd2Cl, with properties calculated at the PBE level.

a = 7.1428 Å, b = 7.1428 Å, c = 7.1428 Å
α = 90.00°, β = 90.00°, γ = 90.00°
Closest atoms and distances in Å follow each position.
Space group Fm-3m (No. 225)
Symmetry-distinct sites (fractional):
Cs1 0.0000 0.0000 0.0000 x4  8 Pd 3.09
Pd1 0.2500 0.2500 0.2500 x8  4 Cl 3.09, 4 Cs 3.09
Cl1 0.0000 0.0000 0.5000 x4  8 Pd 3.09

---

Run b
Below is a relaxed structure of CsPd2Cl, with properties calculated at the PBE level.

a = 5.5879 Å, b = 5.5879 Å, c = 15.4679 Å
α = 90.00°, β = 90.00°, γ = 90.00°
Closest atoms and distances in Å follow each position.
Space group I4_1/amd (No. 141, origin choice 2)
Symmetry-distinct sites (fractional):
Cs1 0.0000 0.2500 0.3750 x4  8 Pd 3.67, 4 Cl 3.95
Pd1 0.0000 0.0000 0.0000 x8  2 Cl 2.39
Cl1 0.0000 0.2500 0.8750 x4  4 Pd 2.39

---

What should be chosen as the least stable of them? Choose run a.

---

Run a
Below is a relaxed structure of CsPdS2Cl, with properties calculated at the PBE level.

a = 5.5298 Å, b = 5.5298 Å, c = 6.2602 Å
α = 90.00°, β = 90.00°, γ = 90.00°
Closest atoms and distances in Å follow each position.
Space group P4/mmm (No. 123)
Symmetry-distinct sites (fractional):
Cs1 0.0000 0.0000 0.0000 x1  4 S 2.76
Pd1 0.5000 0.5000 0.5000 x1  4 Cl 3.91, 8 S 4.18
S1 0.0000 0.5000 0.0000 x2  2 Cs 2.76
Cl1 0.0000 0.0000 0.5000 x1  2 Cs 3.13

---

Run b
Below is a relaxed structure of CsPdS2Cl, with properties calculated at the PBE level.

a = 4.8019 Å, b = 4.8019 Å, c = 5.5531 Å
α = 90.00°, β = 90.00°, γ = 90.00°
Closest atoms and distances in Å follow each position.
Space group P4/mmm (No. 123)
Symmetry-distinct sites (fractional):
Cs1 0.0000 0.0000 0.0000 x1  4 Cl 3.40, 8 S 3.67
Pd1 0.5000 0.5000 0.5000 x1  4 S 2.40
S1 0.0000 0.5000 0.5000 x2  2 Pd 2.40
Cl1 0.5000 0.5000 0.0000 x1  2 Pd 2.78

---

What should be chosen as the least stable of them? Choose run a.

---

Run a
Below is a relaxed structure of CsPm2Cl8, with properties calculated at the PBE level.

a = 11.6069 Å, b = 8.5579 Å, c = 8.7781 Å
α = 90.00°, β = 102.14°, γ = 90.00°
Closest atoms and distances in Å follow each position.
Space group C2/m (No. 12)
Symmetry-distinct sites (fractional):
Cs1 0.0000 0.0000 0.0000 x2  6 Cl 3.52-3.58
Pm1 0.1776 0.5000 0.4627 x4  7 Cl 2.71-2.83
Cl1 0.0563 0.5000 0.6997 x4  2 Pm 2.75-2.79
Cl2 0.1507 0.1911 0.3477 x8  2 Pm 2.82-2.83
Cl3 0.2321 0.0000 0.7980 x4  1 Pm 2.71

---

Run b
Below is a relaxed structure of CsPm2Cl8, with properties calculated at the PBE level.

a = 8.6016 Å, b = 14.1916 Å, c = 5.3458 Å
α = 90.00°, β = 90.00°, γ = 90.00°
Closest atoms and distances in Å follow each position.
Space group Cmmm (No. 65)
Symmetry-distinct sites (fractional):
Cs1 0.0000 0.0000 0.0000 x2  10 Cl 3.71-3.74
Pm1 0.0000 0.3021 0.5000 x4  6 Cl 2.73-2.85
Cl1 0.0000 0.2636 0.0000 x4  2 Pm 2.73
Cl2 0.0000 0.5000 0.2490 x4  2 Cl 2.66-2.68
Cl3 0.1931 0.1385 0.5000 x8  2 Pm 2.77-2.85

---

What should be chosen as the least stable of them? Choose run a.

---

Run a
Below is a relaxed structure of CsPr2Cl7, with properties calculated at the PBE level.

a = 8.8110 Å, b = 14.2928 Å, c = 5.5567 Å
α = 90.00°, β = 90.00°, γ = 90.00°
Closest atoms and distances in Å follow each position.
Space group Cmmm (No. 65)
Symmetry-distinct sites (fractional):
Cs1 0.0000 0.0000 0.0000 x2  10 Cl 3.80-4.15
Pr1 0.0000 0.3035 0.5000 x4  7 Cl 2.78-2.86
Cl1 0.0000 0.2904 0.0000 x4  2 Pr 2.78
Cl2 0.0000 0.5000 0.5000 x2  2 Pr 2.81
Cl3 0.1880 0.1402 0.5000 x8  2 Pr 2.86

---

Run b
Below is a relaxed structure of CsPr2Cl7, with properties calculated at the PBE level.

a = 15.1760 Å, b = 9.8323 Å, c = 17.0485 Å
α = 90.00°, β = 90.00°, γ = 90.00°
Closest atoms and distances in Å follow each position.
Space group Pnma (No. 62)
Symmetry-distinct sites (fractional):
Cs1 0.0776 0.2500 0.0723 x4  6 Cl 3.54-3.84
Cs2 0.0829 0.7500 0.6027 x4  5 Cl 3.33-3.67
Pr1 0.0179 0.2500 0.7564 x4  8 Cl 2.85-3.02
Pr2 0.2140 0.2500 0.5669 x4  7 Cl 2.73-2.96
Pr3 0.2473 0.0275 0.3459 x8  8 Cl 2.81-2.98
Cl1 0.0292 0.2500 0.5877 x4  2 Pr 2.83-2.88
Cl2 0.0737 0.5006 0.2794 x8  2 Pr 2.88
Cl3 0.0795 0.0699 0.8798 x8  2 Pr 2.86-2.90
Cl4 0.1213 0.7500 0.1316 x4  2 Pr 2.73-2.85
Cl5 0.1358 0.2500 0.4113 x4  3 Pr 2.90-2.98, 1 Cl 3.17
Cl6 0.1557 0.7500 0.9237 x4  3 Pr 2.95-3.14, 1 Cl 3.17
Cl7 0.1702 0.0752 0.7025 x8  3 Pr 2.93-3.02
Cl8 0.2067 0.7500 0.3586 x4  2 Pr 2.81
Cl9 0.2301 0.5195 0.5116 x8  2 Pr 2.82-2.87
Cl10 0.2489 0.2500 0.2375 x4  2 Pr 2.86

---

What should be chosen as the least stable of them? Choose run a.

---

Run a
Below is a relaxed structure of Cs3PtCl6, with properties calculated at the PBE level.

a = 7.8872 Å, b = 7.8872 Å, c = 11.8539 Å
α = 90.00°, β = 90.00°, γ = 90.00°
Closest atoms and distances in Å follow each position.
Space group I4/mmm (No. 139)
Symmetry-distinct sites (fractional):
Cs1 0.0000 0.0000 0.0000 x2  6 Cl 3.23-3.26
Cs2 0.0000 0.5000 0.2500 x4  12 Cl 3.95-4.09
Pt1 0.0000 0.0000 0.5000 x2  4 Cl 2.35
Cl1 0.0000 0.0000 0.2747 x4  1 Pt 2.67
Cl2 0.2104 0.2104 0.5000 x8  1 Pt 2.35

---

Run b
Below is a relaxed structure of Cs3PtCl6, with properties calculated at the PBE level.

a = 13.1719 Å, b = 13.1719 Å, c = 15.9036 Å
α = 90.00°, β = 90.00°, γ = 120.00°
Closest atoms and distances in Å follow each position.
Space group R-3 (No. 148, hexagonal axes)
Symmetry-distinct sites (fractional):
Cs1 0.0451 0.2705 0.2090 x18  6 Cl 3.45-3.55
Pt1 0.0000 0.0000 0.0000 x3  6 Cl 2.46
Pt2 0.0000 0.0000 0.5000 x3  6 Cl 2.45
Cl1 0.0063 0.1553 0.4114 x18  1 Pt 2.45
Cl2 0.0287 0.1656 0.9115 x18  1 Pt 2.46

---

What should be chosen as the least stable of them? Choose run b.